[1]
{
  "formula": "KSmCu",
  "functional": "PBE",
  "state": "optimized geometry",
  "cell": [[0.0000, 3.6245, 3.6245], [3.6245, 0.0000, 3.6245], [3.6245, 3.6245, 0.0000]],
  "species": ["Cu", "K", "Sm"],
  "frac_coords": [[0.0000, 0.0000, 0.0000], [0.2500, 0.2500, 0.2500], [0.7500, 0.7500, 0.7500]],
  "m_tot_mub_per_fu": 0.01
}

---

[2]
{
  "formula": "KCuSnTe3",
  "functional": "PBE",
  "state": "optimized geometry",
  "cell": [[10.2190, 0.0000, 0.0000], [0.0000, 4.3071, 0.0000], [0.0000, 0.0000, 16.7913]],
  "species": ["Cu", "Cu", "Cu", "Cu", "K", "K", "K", "K", "Sn", "Sn", "Sn", "Sn", "Te", "Te", "Te", "Te", "Te", "Te", "Te", "Te", "Te", "Te", "Te", "Te"],
  "frac_coords": [[0.1983, 0.2500, 0.1256], [0.6983, 0.2500, 0.3744], [0.3017, 0.7500, 0.6256], [0.8017, 0.7500, 0.8744], [0.4469, 0.7500, 0.1803], [0.9469, 0.7500, 0.3197], [0.0531, 0.2500, 0.6803], [0.5531, 0.2500, 0.8197], [0.8355, 0.2500, 0.0604], [0.3355, 0.2500, 0.4396], [0.6645, 0.7500, 0.5604], [0.1645, 0.7500, 0.9396], [0.3445, 0.2500, 0.0009], [0.0488, 0.7500, 0.1096], [0.7112, 0.2500, 0.2226], [0.2112, 0.2500, 0.2774], [0.5488, 0.7500, 0.3904], [0.8445, 0.2500, 0.4991], [0.1555, 0.7500, 0.5009], [0.4512, 0.2500, 0.6096], [0.7888, 0.7500, 0.7226], [0.2888, 0.7500, 0.7774], [0.9512, 0.2500, 0.8904], [0.6555, 0.7500, 0.9991]]
}

---

[3]
{
  "formula": "KCuSnTe3",
  "functional": "PBE",
  "state": "optimized geometry",
  "cell": [[12.0870, 0.0000, 0.0000], [0.0000, 4.5005, 0.0000], [0.0000, 0.0000, 13.9157]],
  "species": ["Cu", "Cu", "Cu", "Cu", "K", "K", "K", "K", "Sn", "Sn", "Sn", "Sn", "Te", "Te", "Te", "Te", "Te", "Te", "Te", "Te", "Te", "Te", "Te", "Te"],
  "frac_coords": [[0.7970, 0.5000, 0.2356], [0.2970, 0.0000, 0.2644], [0.7030, 0.5000, 0.7356], [0.2030, 0.0000, 0.7644], [0.0074, 0.0000, 0.1626], [0.5074, 0.5000, 0.3374], [0.4926, 0.0000, 0.6626], [0.9926, 0.5000, 0.8374], [0.3444, 0.5000, 0.0155], [0.8444, 0.0000, 0.4845], [0.1556, 0.5000, 0.5155], [0.6556, 0.0000, 0.9845], [0.8063, 0.5000, 0.0516], [0.4760, 0.0000, 0.1266], [0.2310, 0.5000, 0.1990], [0.7310, 0.0000, 0.3010], [0.9760, 0.5000, 0.3734], [0.3063, 0.0000, 0.4484], [0.6937, 0.5000, 0.5516], [0.0240, 0.0000, 0.6266], [0.2690, 0.5000, 0.6990], [0.7690, 0.0000, 0.8010], [0.5240, 0.5000, 0.8734], [0.1937, 0.0000, 0.9484]]
}

---

[4]
{
  "formula": "KCuSnTe3",
  "functional": "PBE",
  "state": "optimized geometry",
  "cell": [[16.0460, 0.0000, 0.0000], [0.0000, 4.3079, 0.0000], [0.0000, 0.0000, 11.3753]],
  "species": ["Cu", "Cu", "Cu", "Cu", "K", "K", "K", "K", "Sn", "Sn", "Sn", "Sn", "Te", "Te", "Te", "Te", "Te", "Te", "Te", "Te", "Te", "Te", "Te", "Te"],
  "frac_coords": [[0.5067, 0.2500, 0.0692], [0.0067, 0.2500, 0.4308], [0.9933, 0.7500, 0.5692], [0.4933, 0.7500, 0.9308], [0.7259, 0.7500, 0.0156], [0.2259, 0.7500, 0.4844], [0.7741, 0.2500, 0.5156], [0.2741, 0.2500, 0.9844], [0.0212, 0.7500, 0.1571], [0.5212, 0.7500, 0.3429], [0.4788, 0.2500, 0.6571], [0.9788, 0.2500, 0.8429], [0.8986, 0.2500, 0.0720], [0.4160, 0.7500, 0.1296], [0.6258, 0.2500, 0.2363], [0.1258, 0.2500, 0.2637], [0.9160, 0.7500, 0.3704], [0.3986, 0.2500, 0.4280], [0.6014, 0.7500, 0.5720], [0.0840, 0.2500, 0.6296], [0.8742, 0.7500, 0.7363], [0.3742, 0.7500, 0.7637], [0.5840, 0.2500, 0.8704], [0.1014, 0.7500, 0.9280]]
}

---

[5]
{
  "formula": "KCuSnTe3",
  "functional": "PBE",
  "state": "optimized geometry",
  "cell": [[-3.9193, -5.0188, 10.2404], [3.8087, 1.1589, 2.0257], [-5.5344, 11.7904, 3.6602]],
  "species": ["Cu", "Cu", "Cu", "Cu", "K", "K", "K", "K", "Sn", "Sn", "Sn", "Sn", "Te", "Te", "Te", "Te", "Te", "Te", "Te", "Te", "Te", "Te", "Te", "Te"],
  "frac_coords": [[0.2487, 0.2500, 0.1749], [0.7487, 0.2500, 0.3251], [0.2513, 0.7500, 0.6749], [0.7513, 0.7500, 0.8251], [0.7492, 0.2500, 0.0185], [0.2492, 0.2500, 0.4815], [0.7508, 0.7500, 0.5185], [0.2508, 0.7500, 0.9815], [0.9982, 0.7500, 0.2496], [0.4982, 0.7500, 0.2504], [0.5018, 0.2500, 0.7496], [0.0018, 0.2500, 0.7504], [0.0440, 0.2500, 0.0968], [0.4543, 0.2500, 0.0985], [0.7482, 0.7500, 0.2244], [0.2482, 0.7500, 0.2756], [0.9543, 0.2500, 0.4015], [0.5440, 0.2500, 0.4032], [0.4560, 0.7500, 0.5968], [0.0457, 0.7500, 0.5985], [0.7518, 0.2500, 0.7244], [0.2518, 0.2500, 0.7756], [0.5457, 0.7500, 0.9015], [0.9560, 0.7500, 0.9032]]
}

---

[6]
{
  "formula": "KCuSnTe3",
  "functional": "PBE",
  "state": "optimized geometry",
  "cell": [[-8.7921, 2.3015, 0.5167], [-0.7824, -3.5126, 2.3333], [5.5292, 4.2615, 8.2692]],
  "species": ["Cu", "Cu", "K", "K", "Sn", "Sn", "Te", "Te", "Te", "Te", "Te", "Te"],
  "frac_coords": [[0.4375, 0.7500, 0.4258], [0.5625, 0.2500, 0.5742], [0.7618, 0.2500, 0.3035], [0.2382, 0.7500, 0.6965], [0.1865, 0.2500, 0.1465], [0.8135, 0.7500, 0.8535], [0.9454, 0.7500, 0.1422], [0.4225, 0.7500, 0.1754], [0.2650, 0.2500, 0.4376], [0.7350, 0.7500, 0.5624], [0.5775, 0.2500, 0.8246], [0.0546, 0.2500, 0.8578]]
}

---

[7]
{
  "formula": "KCuSnTe3",
  "functional": "PBE",
  "state": "optimized geometry",
  "cell": [[-5.2502, 0.3851, -10.4836], [-5.9528, 4.4571, 3.1449], [-3.1654, 7.1938, 1.8495]],
  "species": ["Cu", "Cu", "K", "K", "Sn", "Sn", "Te", "Te", "Te", "Te", "Te", "Te"],
  "frac_coords": [[0.0000, 0.4427, 0.4427], [0.5000, 0.5573, 0.5573], [0.5000, 0.2559, 0.2559], [0.0000, 0.7441, 0.7441], [0.2500, 0.0000, 0.0000], [0.7500, 0.0000, 0.0000], [0.0000, 0.0506, 0.0506], [0.1997, 0.3650, 0.3650], [0.8003, 0.3650, 0.3650], [0.3003, 0.6350, 0.6350], [0.6997, 0.6350, 0.6350], [0.5000, 0.9494, 0.9494]]
}

---

[8]
{
  "formula": "KCuSnTe3",
  "functional": "PBE",
  "state": "optimized geometry",
  "cell": [[13.9795, 0.0000, 0.0000], [0.0000, 4.4962, 0.0000], [0.0000, 0.0000, 12.1140]],
  "species": ["Cu", "Cu", "Cu", "Cu", "K", "K", "K", "K", "Sn", "Sn", "Sn", "Sn", "Te", "Te", "Te", "Te", "Te", "Te", "Te", "Te", "Te", "Te", "Te", "Te"],
  "frac_coords": [[0.2641, 0.2500, 0.2033], [0.7641, 0.2500, 0.2967], [0.2359, 0.7500, 0.7033], [0.7359, 0.7500, 0.7967], [0.6629, 0.2500, 0.0076], [0.1629, 0.2500, 0.4924], [0.8371, 0.7500, 0.5076], [0.3371, 0.7500, 0.9924], [0.0152, 0.7500, 0.1555], [0.5152, 0.7500, 0.3445], [0.4848, 0.2500, 0.6555], [0.9848, 0.2500, 0.8445], [0.1267, 0.2500, 0.0248], [0.4474, 0.2500, 0.1943], [0.6985, 0.7500, 0.2312], [0.1985, 0.7500, 0.2688], [0.9474, 0.2500, 0.3057], [0.6267, 0.2500, 0.4752], [0.3733, 0.7500, 0.5248], [0.0526, 0.7500, 0.6943], [0.8015, 0.2500, 0.7312], [0.3015, 0.2500, 0.7688], [0.5526, 0.7500, 0.8057], [0.8733, 0.7500, 0.9752]]
}

---

[9]
{
  "formula": "KCuSnTe3",
  "functional": "PBE",
  "state": "optimized geometry",
  "cell": [[8.8078, -2.3573, 0.0000], [8.8078, 2.3573, 0.0000], [-0.7825, 0.0000, 9.1449]],
  "species": ["Cu", "Cu", "K", "K", "Sn", "Sn", "Te", "Te", "Te", "Te", "Te", "Te"],
  "frac_coords": [[0.5076, 0.5076, 0.3336], [0.4924, 0.4924, 0.6664], [0.1490, 0.1490, 0.0798], [0.8510, 0.8510, 0.9202], [0.8325, 0.8325, 0.4170], [0.1675, 0.1675, 0.5830], [0.5000, 0.5000, 0.0000], [0.3692, 0.3692, 0.2038], [0.6608, 0.6608, 0.3533], [0.0000, 0.0000, 0.5000], [0.3392, 0.3392, 0.6467], [0.6308, 0.6308, 0.7962]]
}

---

[10]
{
  "formula": "KTaCuTe3",
  "functional": "PBE",
  "state": "optimized geometry",
  "cell": [[-9.2762, -4.6304, -7.0287], [2.7396, -1.3603, -2.7195], [0.7634, -11.2020, 6.3721]],
  "species": ["Cu", "Cu", "Cu", "Cu", "K", "K", "K", "K", "Ta", "Ta", "Ta", "Ta", "Te", "Te", "Te", "Te", "Te", "Te", "Te", "Te", "Te", "Te", "Te", "Te"],
  "frac_coords": [[0.7625, 0.0000, 0.2148], [0.2625, 0.0000, 0.2852], [0.7375, 0.5000, 0.7148], [0.2375, 0.5000, 0.7852], [0.8216, 0.5000, 0.0241], [0.3216, 0.5000, 0.4759], [0.6784, 0.0000, 0.5241], [0.1784, 0.0000, 0.9759], [0.4512, 0.5000, 0.1609], [0.9512, 0.5000, 0.3391], [0.0488, 0.0000, 0.6609], [0.5488, 0.0000, 0.8391], [0.5884, 0.0000, 0.0721], [0.2324, 0.5000, 0.1711], [0.9677, 0.0000, 0.1848], [0.4677, 0.0000, 0.3152], [0.7324, 0.5000, 0.3289], [0.0884, 0.0000, 0.4279], [0.9116, 0.5000, 0.5721], [0.2676, 0.0000, 0.6711], [0.5323, 0.5000, 0.6848], [0.0323, 0.5000, 0.8152], [0.7676, 0.0000, 0.8289], [0.4116, 0.5000, 0.9279]],
  "m_tot_mub_per_fu": 0.89
}

---

[11]
{
  "formula": "KTbCu",
  "functional": "PBE",
  "state": "optimized geometry",
  "cell": [[0.0000, 3.6026, 3.6026], [3.6026, 0.0000, 3.6026], [3.6026, 3.6026, 0.0000]],
  "species": ["Cu", "K", "Tb"],
  "frac_coords": [[0.0000, 0.0000, 0.0000], [0.2500, 0.2500, 0.2500], [0.7500, 0.7500, 0.7500]],
  "m_tot_mub_per_fu": 0.07
}

---

[12]
{
  "formula": "KTbYCu2",
  "functional": "PBE",
  "state": "optimized geometry",
  "cell": [[3.8033, 0.0000, 0.0000], [0.0000, 2.1655, 8.7213], [0.0000, -2.1655, 8.7213]],
  "species": ["Cu", "Cu", "K", "Tb", "Y"],
  "frac_coords": [[0.5000, 0.2075, 0.2075], [0.5000, 0.7928, 0.7928], [0.5000, 0.0001, 0.0001], [0.0000, 0.3290, 0.3290], [0.0000, 0.6705, 0.6705]],
  "m_tot_mub_per_fu": 0.03
}

---

Record-wise theoretical density values, in g/cm3: 4.4, 5.4, 5.3, 5.1, 5.5, 5.1, 5.3, 5.3, 5.3, 6.7, 4.6, 4.8
Record-wise total DFT energy (no corrections) values, in eV per atom: -2.63, -3.39, -3.42, -3.43, -3.41, -3.42, -3.40, -3.42, -3.38, -4.63, -2.57, -3.93